# 1
First-principles (GGA-PBE) data for a geometry-optimized Be2CoNi structure, as listed in the Alexandria database.

```
data_Be2CoNi
_space_group_name_H-M_alt 'P 1'
_space_group_IT_number 1
_cell_length_a 3.661
_cell_length_b 5.803
_cell_length_c 2.618
_cell_angle_alpha 63.13
_cell_angle_beta 90.02
_cell_angle_gamma 129.13
loop_
_space_group_symop_operation_xyz
'x,y,z'
loop_
_atom_site_label
_atom_site_fract_x
_atom_site_fract_y
_atom_site_fract_z
_atom_site_occupancy
Ni1 0.500 0.000 0.500 1
Co1 0.500 0.500 0.000 1
Be1 0.000 0.000 0.000 1
Be2 0.000 0.500 0.500 1
```

Output
The calculated formation energy comes out at -0.42 eV per atom. As for the energy above the most stable polymorph in this dataset: 0.000 eV per atom. Its space group is P4/mmm, No. 123.



# 2
First-principles (GGA-PBE) data for a geometry-optimized BeCo2Ni structure, as listed in the Alexandria database.

```
data_BeCo2Ni
_space_group_name_H-M_alt 'P 1'
_space_group_IT_number 1
_cell_length_a 3.262
_cell_length_b 3.262
_cell_length_c 8.615
_cell_angle_alpha 79.09
_cell_angle_beta 79.09
_cell_angle_gamma 90.00
loop_
_space_group_symop_operation_xyz
'x,y,z'
loop_
_atom_site_label
_atom_site_fract_x
_atom_site_fract_y
_atom_site_fract_z
_atom_site_occupancy
Ni1 0.000 0.000 0.000 1
Ni2 0.750 0.250 0.500 1
Co1 0.609 0.125 0.250 1
Co2 0.141 0.625 0.250 1
Co3 0.375 0.391 0.750 1
Co4 0.875 0.859 0.750 1
Be1 0.500 0.500 0.000 1
Be2 0.250 0.750 0.500 1
```

Output
The calculated formation energy comes out at 0.29 eV per atom. Its space group is I-42d, No. 122.



# 3
First-principles (GGA-PBE) data for a geometry-optimized Be2CoNi structure, as listed in the Alexandria database.

```
data_Be2CoNi
_space_group_name_H-M_alt 'P 1'
_space_group_IT_number 1
_cell_length_a 2.621
_cell_length_b 2.621
_cell_length_c 5.249
_cell_angle_alpha 90.00
_cell_angle_beta 90.00
_cell_angle_gamma 90.00
loop_
_space_group_symop_operation_xyz
'x,y,z'
loop_
_atom_site_label
_atom_site_fract_x
_atom_site_fract_y
_atom_site_fract_z
_atom_site_occupancy
Ni1 0.500 0.500 0.778 1
Co1 0.000 0.000 0.467 1
Be1 0.000 0.000 0.014 1
Be2 0.500 0.500 0.242 1
```

Output
The calculated formation energy comes out at -0.19 eV per atom. As for the energy above the most stable polymorph in this dataset: 0.228 eV per atom. Its space group is P4mm, No. 99.